A relaxed Ho4HgIrRh2 crystal, computed with PBE-GGA.

- Total energy: -48.363 eV per cell
- E_form: -6.19 eV per formula unit
- Density of states at the Fermi level: 0.470 states/eV per atom

Unit cell a=8.6101 b=8.6101 c=8.6101 alpha=33.13 beta=33.13 gamma=33.13
With the nearest neighbours (Å) after each atom.
Atoms (fractional coordinates):
Ho (0.1181, 0.1181, 0.1181)  1 Ir 2.88, 3 Rh 2.97, 3 Hg 3.07
Ho (0.3705, 0.3705, 0.3705)  4 Rh 2.91-3.04, 3 Ir 2.98, 1 Hg 3.16
Ho (0.6295, 0.6295, 0.6295)  4 Rh 2.91-3.04, 3 Ir 2.98, 1 Hg 3.16
Ho (0.8819, 0.8819, 0.8819)  1 Ir 2.88, 3 Rh 2.97, 3 Hg 3.07
Hg (0.5000, 0.5000, 0.5000)  8 Ho 3.07-3.16
Ir (0.0000, 0.0000, 0.0000)  8 Ho 2.88-2.98
Rh (0.2511, 0.2511, 0.2511)  8 Ho 2.91-3.24
Rh (0.7489, 0.7489, 0.7489)  8 Ho 2.91-3.24

***

A relaxed MgCdO2 crystal, computed with PBE-GGA.

- Total energy: -58.486 eV per cell
- ΔE_f (raw): -1.767 eV per atom

Unit cell a=3.4220 b=3.4220 c=17.2126 alpha=90.00 beta=90.00 gamma=120.00
With the nearest neighbours (Å) after each atom.
Atoms (fractional coordinates):
Mg (0.0000, 0.0000, 0.0000)  4 O 1.97-2.06
Mg (0.3333, 0.6667, 0.6667)  4 O 1.97-2.06
Mg (0.6667, 0.3333, 0.3333)  4 O 1.97-2.06
Cd (0.0000, 0.0000, 0.4964)  4 O 2.20-2.23
Cd (0.3333, 0.6667, 0.1631)  4 O 2.20-2.23
Cd (0.6667, 0.3333, 0.8297)  4 O 2.20-2.23
O (0.0000, 0.0000, 0.3670)  3 Mg 2.06, 1 Cd 2.23
O (0.0000, 0.0000, 0.8856)  1 Mg 1.97, 3 Cd 2.20
O (0.3333, 0.6667, 0.0336)  3 Mg 2.06, 1 Cd 2.23
O (0.3333, 0.6667, 0.5522)  1 Mg 1.97, 3 Cd 2.20
O (0.6667, 0.3333, 0.2189)  1 Mg 1.97, 3 Cd 2.20
O (0.6667, 0.3333, 0.7003)  3 Mg 2.06, 1 Cd 2.23

***

A relaxed Ta3HgPt crystal, computed with PBE-GGA.

- Total energy: -36.200 eV per cell
- E_form: 5.70 eV per formula unit
- Density of states at the Fermi level: 1.924 states/eV per atom

Unit cell a=4.8963 b=4.8963 c=4.8963 alpha=90.00 beta=90.00 gamma=90.00
With the nearest neighbours (Å) after each atom.
Atoms (fractional coordinates):
Ta (0.0000, 0.0000, 0.5000)  2 Pt 2.45
Ta (0.0000, 0.5000, 0.0000)  2 Pt 2.45
Ta (0.5000, 0.0000, 0.0000)  2 Pt 2.45
Hg (0.5000, 0.5000, 0.5000)  12 Ta 3.46
Pt (0.0000, 0.0000, 0.0000)  6 Ta 2.45

***

A relaxed ZnCrP crystal, computed with PBE-GGA.

- Total energy: -16.098 eV per cell
- E_form: 0.21 eV per formula unit
- Density of states at the Fermi level: 0.565 states/eV per atom

Unit cell a=3.8312 b=3.8312 c=3.2929 alpha=90.00 beta=90.00 gamma=120.00
With the nearest neighbours (Å) after each atom.
Atoms (fractional coordinates):
Zn (0.0000, 0.0000, 0.0000)  6 P 2.76, 6 Cr 2.76
Cr (0.6667, 0.3333, 0.5000)  3 P 2.21
P (0.3333, 0.6667, 0.5000)  3 Cr 2.21

***

A relaxed KTbRe2N6 crystal, computed with PBE-GGA.

- Total energy: -168.684 eV per cell
- ΔE_f (raw): -0.377 eV per atom

Unit cell a=7.7610 b=7.7610 c=6.3801 alpha=104.62 beta=104.62 gamma=86.04
With the nearest neighbours (Å) after each atom.
Atoms (fractional coordinates):
K (0.0830, 0.9170, 0.7500)  6 N 2.66-2.86
K (0.9170, 0.0830, 0.2500)  6 N 2.66-2.86
Tb (0.2942, 0.7058, 0.2500)  6 N 2.35-2.58
Tb (0.7058, 0.2942, 0.7500)  6 N 2.35-2.58
Re (0.2089, 0.3790, 0.8140)  4 N 1.75-1.94
Re (0.3790, 0.2089, 0.3140)  4 N 1.75-1.94
Re (0.6210, 0.7911, 0.6860)  4 N 1.75-1.94
Re (0.7911, 0.6210, 0.1860)  4 N 1.75-1.94
N (0.0012, 0.7278, 0.2948)  1 Re 1.78
N (0.1740, 0.6095, 0.8618)  1 Re 1.75
N (0.2722, 0.9988, 0.2052)  1 Re 1.78
N (0.3128, 0.3640, 0.1113)  2 Re 1.89-1.94
N (0.3640, 0.3128, 0.6113)  2 Re 1.89-1.94
N (0.3905, 0.8260, 0.6382)  1 Re 1.75
N (0.6095, 0.1740, 0.3618)  1 Re 1.75
N (0.6360, 0.6872, 0.3887)  2 Re 1.89-1.94
N (0.6872, 0.6360, 0.8887)  2 Re 1.89-1.94
N (0.7278, 0.0012, 0.7948)  1 Re 1.78
N (0.8260, 0.3905, 0.1382)  1 Re 1.75
N (0.9988, 0.2722, 0.7052)  1 Re 1.78

***

A relaxed La4ZnCl2 crystal, computed with PBE-GGA.

- Total energy: -61.739 eV per cell
- ΔE_f (raw): -0.885 eV per atom
- Density of states at the Fermi level: 0.717 states/eV per atom

Unit cell a=15.6754 b=4.1517 c=7.3304 alpha=90.00 beta=117.86 gamma=90.00
With the nearest neighbours (Å) after each atom.
Atoms (fractional coordinates):
La (0.1152, 0.0000, 0.2685)  3 Cl 2.96-3.02, 1 Zn 3.00
La (0.1317, 0.5000, 0.8137)  3 Cl 2.99-3.03, 2 Zn 3.07
La (0.3683, 0.0000, 0.1863)  3 Cl 2.99-3.03, 2 Zn 3.07
La (0.3848, 0.5000, 0.7315)  3 Cl 2.96-3.02, 1 Zn 3.00
La (0.6152, 0.5000, 0.2685)  3 Cl 2.96-3.02, 1 Zn 3.00
La (0.6317, 0.0000, 0.8137)  3 Cl 2.99-3.03, 2 Zn 3.07
La (0.8683, 0.5000, 0.1863)  3 Cl 2.99-3.03, 2 Zn 3.07
La (0.8848, 0.0000, 0.7315)  3 Cl 2.96-3.02, 1 Zn 3.00
Zn (0.0000, 0.0000, 0.5000)  6 La 3.00-3.07
Zn (0.5000, 0.5000, 0.5000)  6 La 3.00-3.07
Cl (0.2490, 0.0000, 0.7275)  6 La 2.96-3.03
Cl (0.2510, 0.5000, 0.2725)  6 La 2.96-3.03
Cl (0.7490, 0.5000, 0.7275)  6 La 2.96-3.03
Cl (0.7510, 0.0000, 0.2725)  6 La 2.96-3.03

***

A relaxed Pr4Er3Te8 crystal, computed with PBE-GGA.

- Total energy: -78.701 eV per cell
- ΔE_f (raw): -1.384 eV per atom
- Density of states at the Fermi level: 0.464 states/eV per atom

Unit cell a=8.8331 b=8.8331 c=8.8291 alpha=119.93 beta=119.93 gamma=90.05
With the nearest neighbours (Å) after each atom.
Atoms (fractional coordinates):
Pr (0.0000, 0.0000, 0.0000)  6 Te 3.19-3.20
Pr (0.0000, 0.0000, 0.5000)  6 Te 3.25
Pr (0.0000, 0.5000, 0.0000)  6 Te 3.12-3.13
Pr (0.5000, 0.0000, 0.0000)  6 Te 3.12-3.13
Er (0.0000, 0.5000, 0.5000)  6 Te 3.12-3.13
Er (0.5000, 0.0000, 0.5000)  6 Te 3.12-3.13
Er (0.5000, 0.5000, 0.0000)  6 Te 3.05-3.06
Te (0.2556, 0.7444, 0.0000)  3 Er 3.05-3.13, 3 Pr 3.12-3.19
Te (0.2599, 0.7401, 0.5000)  2 Er 3.12, 3 Pr 3.13-3.25
Te (0.2653, 0.2653, 0.0191)  1 Er 3.05, 4 Pr 3.13-3.25
Te (0.2654, 0.2654, 0.5111)  3 Er 3.06-3.13, 2 Pr 3.20-3.25
Te (0.7346, 0.7346, 0.4889)  3 Er 3.06-3.13, 2 Pr 3.20-3.25
Te (0.7347, 0.7347, 0.9809)  1 Er 3.05, 4 Pr 3.13-3.25
Te (0.7401, 0.2599, 0.5000)  2 Er 3.12, 3 Pr 3.13-3.25
Te (0.7444, 0.2556, 0.0000)  3 Er 3.05-3.13, 3 Pr 3.12-3.19

***

A relaxed As2RuAu2 crystal, computed with PBE-GGA.

- Total energy: -49.038 eV per cell
- E_form: 0.61 eV per formula unit
- Density of states at the Fermi level: 0.451 states/eV per atom

Unit cell a=6.2487 b=6.2487 c=4.8196 alpha=90.00 beta=90.00 gamma=90.00
With the nearest neighbours (Å) after each atom.
Atoms (fractional coordinates):
As (0.1388, 0.3612, 0.0000)  2 Ru 2.42, 1 As 2.45, 2 Au 2.56
As (0.3612, 0.8612, 0.0000)  2 Ru 2.42, 1 As 2.45, 2 Au 2.56
As (0.6388, 0.1388, 0.0000)  2 Ru 2.42, 1 As 2.45, 2 Au 2.56
As (0.8612, 0.6388, 0.0000)  2 Ru 2.42, 1 As 2.45, 2 Au 2.56
Ru (0.0000, 0.0000, 0.0000)  4 As 2.42
Ru (0.5000, 0.5000, 0.0000)  4 As 2.42
Au (0.2374, 0.2626, 0.5000)  2 As 2.56
Au (0.2626, 0.7626, 0.5000)  2 As 2.56
Au (0.7374, 0.2374, 0.5000)  2 As 2.56
Au (0.7626, 0.7374, 0.5000)  2 As 2.56

***

Among the records above, which one has the highest total energy? ZnCrP